5
Lattice="6.641 0.000 0.000 0.000 6.641 0.000 0.000 0.000 6.641" Properties=species:S:1:pos:R:3 comment="Rb3FeHg, relaxed, DFT PBEsol" energy_ev_per_cell=-8.134 m_tot_mub_per_atom=0.694 formation_energy_mev_per_atom=894 crystal_system=cubic pbc="T T T"
Rb 0.000 0.000 3.321
Rb 0.000 3.321 0.000
Rb 3.321 0.000 0.000
Fe 3.321 3.321 3.321
Hg 0.000 0.000 0.000

5
Lattice="5.679 0.000 0.000 0.000 5.679 0.000 0.000 0.000 4.597" Properties=species:S:1:pos:R:3 comment="RbZrFeHg2, relaxed, DFT PBEsol" energy_ev_per_cell=-17.192 m_tot_mub_per_atom=0.231 formation_energy_mev_per_atom=604 crystal_system=tetragonal pbc="T T T"
Rb 0.000 0.000 0.000
Zr 2.840 2.840 2.298
Fe 2.840 2.840 0.000
Hg 0.000 2.840 2.298
Hg 2.840 0.000 2.298

4
Lattice="-1.947 1.947 3.542 1.947 -1.947 3.542 1.947 1.947 -3.542" Properties=species:S:1:pos:R:3 comment="Fe2ReHg, relaxed, DFT PBEsol" energy_ev_per_cell=-29.562 m_tot_mub_per_atom=0.626 formation_energy_mev_per_atom=566 crystal_system=tetragonal pbc="T T T"
Fe 1.947 0.000 1.771
Fe 0.000 1.947 1.771
Re 0.000 0.000 0.000
Hg 0.000 0.000 3.542

4
Lattice="2.826 0.000 0.000 0.000 2.826 0.000 0.000 0.000 7.062" Properties=species:S:1:pos:R:3 comment="Fe2ReHg, relaxed, DFT PBEsol" energy_ev_per_cell=-30.398 m_tot_mub_per_atom=1.129 formation_energy_mev_per_atom=357 crystal_system=tetragonal pbc="T T T"
Fe 0.000 0.000 0.000
Fe 1.413 1.413 1.401
Re 1.413 1.413 5.582
Hg 0.000 0.000 3.374

5
Lattice="-1.926 1.926 5.777 1.926 -1.926 5.777 1.926 1.926 -5.777" Properties=species:S:1:pos:R:3 comment="Fe2Hg2Rh, relaxed, DFT PBEsol" energy_ev_per_cell=-23.086 m_tot_mub_per_atom=1.284 formation_energy_mev_per_atom=823 crystal_system=tetragonal pbc="T T T"
Fe 0.000 0.000 1.018
Fe 0.000 0.000 10.537
Hg 1.926 0.000 2.889
Hg 0.000 1.926 2.889
Rh 0.000 0.000 5.777

4
Lattice="3.084 0.000 0.000 0.000 3.084 0.000 0.000 0.000 6.560" Properties=species:S:1:pos:R:3 comment="ScFe2Hg, relaxed, DFT PBEsol" energy_ev_per_cell=-25.192 m_tot_mub_per_atom=1.081 formation_energy_mev_per_atom=-23 crystal_system=tetragonal pbc="T T T"
Sc 0.000 0.000 0.000
Fe 0.000 0.000 2.758
Fe 1.542 1.542 1.643
Hg 1.542 1.542 4.480